[1]
The following is a GGA+U calculation of a geometry-optimized Li4Ni5SnO12 structure, from Alexandria.

Calculated values
E ... -219.80 eV/cell
Crystal system ... monoclinic

a = 5.094 Å, b = 8.672 Å, c = 9.969 Å
α = 90.00°, β = 98.29°, γ = 90.00°
Space group C2/m (No. 12)
Asymmetric unit:
Li: 0.110 0.174 0.256 (multiplicity 8)
Ni: 0.000 0.000 0.500 (multiplicity 2)
Ni: 0.000 0.166 0.000 (multiplicity 4)
Ni: 0.000 0.335 0.500 (multiplicity 4)
Sn: 0.000 0.500 0.000 (multiplicity 2)
O: 0.106 0.000 0.892 (multiplicity 4)
O: 0.120 0.320 0.887 (multiplicity 8)
O: 0.181 0.500 0.602 (multiplicity 4)
O: 0.205 0.182 0.602 (multiplicity 8)

---

[2]
The following is a GGA+U calculation of a geometry-optimized Li2Ni2SnO6 structure, from Alexandria.

Calculated values
E ... -229.82 eV/cell
Crystal system ... orthorhombic

a = 8.814 Å, b = 5.324 Å, c = 10.123 Å
α = 90.00°, β = 90.00°, γ = 90.00°
Space group Cmce (No. 64)
Asymmetric unit:
Li: 0.250 0.114 0.250 (multiplicity 8)
Ni: 0.163 0.000 0.000 (multiplicity 8)
Sn: 0.000 0.000 0.500 (multiplicity 4)
O: 0.000 0.147 0.902 (multiplicity 8)
O: 0.181 0.143 0.609 (multiplicity 16)

---

[3]
The following is a GGA+U calculation of a geometry-optimized Li3Ni4SnO8 structure, from Alexandria.

Calculated values
E ... -164.57 eV/cell
Crystal system ... monoclinic
Density of states at the Fermi level ... 4.55 states/eV/f.u.

a = 10.344 Å, b = 5.998 Å, c = 6.026 Å
α = 90.00°, β = 125.27°, γ = 90.00°
Space group C2/m (No. 12)
Asymmetric unit:
Li: 0.000 0.000 0.000 (multiplicity 2)
Li: 0.250 0.250 0.500 (multiplicity 4)
Ni: 0.000 0.000 0.500 (multiplicity 2)
Ni: 0.000 0.500 0.000 (multiplicity 2)
Ni: 0.250 0.250 0.000 (multiplicity 4)
Sn: 0.000 0.500 0.500 (multiplicity 2)
O: 0.000 0.254 0.254 (multiplicity 8)
O: 0.246 0.500 0.758 (multiplicity 4)
O: 0.250 0.000 0.770 (multiplicity 4)

---

[4]
The following is a GGA+U calculation of a geometry-optimized Li4Ni3Sn5O16 structure, from Alexandria.

Calculated values
E ... -158.10 eV/cell
Crystal system ... triclinic
Density of states at the Fermi level ... 0.56 states/eV/f.u.

a = 6.043 Å, b = 6.133 Å, c = 9.829 Å
α = 89.07°, β = 89.88°, γ = 60.83°
Space group P1 (No. 1)
Asymmetric unit:
Li: 0.000 0.000 0.000 (multiplicity 1)
Li: 0.020 0.991 0.508 (multiplicity 1)
Li: 0.327 0.300 0.606 (multiplicity 1)
Li: 0.655 0.656 0.093 (multiplicity 1)
Ni: 0.162 0.149 0.281 (multiplicity 1)
Ni: 0.332 0.807 0.785 (multiplicity 1)
Ni: 0.825 0.321 0.782 (multiplicity 1)
Sn: 0.161 0.638 0.282 (multiplicity 1)
Sn: 0.321 0.316 0.002 (multiplicity 1)
Sn: 0.654 0.146 0.284 (multiplicity 1)
Sn: 0.656 0.628 0.512 (multiplicity 1)
Sn: 0.820 0.815 0.784 (multiplicity 1)
O: 0.015 0.971 0.691 (multiplicity 1)
O: 0.023 0.470 0.150 (multiplicity 1)
O: 0.141 0.163 0.892 (multiplicity 1)
O: 0.158 0.670 0.903 (multiplicity 1)
O: 0.322 0.806 0.401 (multiplicity 1)
O: 0.326 0.310 0.397 (multiplicity 1)
O: 0.476 0.017 0.150 (multiplicity 1)
O: 0.481 0.465 0.153 (multiplicity 1)
O: 0.500 0.935 0.656 (multiplicity 1)
O: 0.529 0.470 0.666 (multiplicity 1)
O: 0.639 0.656 0.889 (multiplicity 1)
O: 0.671 0.149 0.898 (multiplicity 1)
O: 0.831 0.812 0.407 (multiplicity 1)
O: 0.832 0.298 0.402 (multiplicity 1)
O: 0.958 0.492 0.660 (multiplicity 1)
O: 0.993 0.980 0.185 (multiplicity 1)

---

[5]
The following is a GGA+U calculation of a geometry-optimized Li4Ni3Sn2O10 structure, from Alexandria.

Calculated values
E ... -201.26 eV/cell
Crystal system ... triclinic
Density of states at the Fermi level ... 4.13 states/eV/f.u.

a = 6.666 Å, b = 8.008 Å, c = 8.095 Å
α = 95.26°, β = 113.88°, γ = 90.70°
Space group P-1 (No. 2)
Asymmetric unit:
Li: 0.120 0.193 0.313 (multiplicity 2)
Li: 0.191 0.894 0.110 (multiplicity 2)
Li: 0.249 0.262 0.970 (multiplicity 2)
Li: 0.336 0.598 0.921 (multiplicity 2)
Ni: 0.000 0.500 0.500 (multiplicity 1)
Ni: 0.052 0.843 0.402 (multiplicity 2)
Ni: 0.453 0.652 0.599 (multiplicity 2)
Ni: 0.500 0.000 0.500 (multiplicity 1)
Sn: 0.170 0.549 0.198 (multiplicity 2)
Sn: 0.346 0.957 0.798 (multiplicity 2)
O: 0.042 0.662 0.958 (multiplicity 2)
O: 0.068 0.045 0.819 (multiplicity 2)
O: 0.086 0.368 0.724 (multiplicity 2)
O: 0.168 0.737 0.628 (multiplicity 2)
O: 0.215 0.047 0.537 (multiplicity 2)
O: 0.269 0.436 0.438 (multiplicity 2)
O: 0.322 0.775 0.363 (multiplicity 2)
O: 0.398 0.110 0.279 (multiplicity 2)
O: 0.423 0.447 0.155 (multiplicity 2)
O: 0.459 0.839 0.032 (multiplicity 2)

---

[6]
The following is a GGA+U calculation of a geometry-optimized Li3Ni2SnO6 structure, from Alexandria.

Calculated values
E above lowest polymorph ... 0.025 eV per atom
Crystal system ... monoclinic
Density of states at the Fermi level ... 5.32 states/eV/f.u.

a = 13.126 Å, b = 3.022 Å, c = 6.011 Å
α = 90.00°, β = 102.83°, γ = 90.00°
Space group C2/m (No. 12)
Asymmetric unit:
Li: 0.000 0.000 0.000 (multiplicity 2)
Li: 0.176 0.500 0.323 (multiplicity 4)
Ni: 0.170 0.500 0.845 (multiplicity 4)
Sn: 0.000 0.000 0.500 (multiplicity 2)
O: 0.001 0.500 0.260 (multiplicity 4)
O: 0.162 0.000 0.602 (multiplicity 4)
O: 0.169 0.000 0.068 (multiplicity 4)

---

Number 1: spin magnetization 0.18 μB/atom, theoretical density 4.8 g cm⁻³. Number 2: spin magnetization 0.18 μB/atom, theoretical density 4.8 g cm⁻³. Number 3: spin magnetization 0.44 μB/atom, theoretical density 5.5 g cm⁻³. Number 4: spin magnetization 0.14 μB/atom, theoretical density 5.5 g cm⁻³. Number 5: spin magnetization 0.21 μB/atom, theoretical density 5.1 g cm⁻³. Number 6: spin magnetization 0.25 μB/atom, theoretical density 5.0 g cm⁻³.